A plane-wave DFT calculation with PBE was carried out for a relaxed Ta5B2Mo2 crystal.

Cell: 14.2322 6.1782 6.1494 Å, 90.00 90.00 90.00°
Closest atoms and distances in Å follow each position.
Space group Cmce (No. 64)
Symmetry-distinct sites (fractional):
Ta (0.0000, 0.0000, 0.0000)  4 B 2.51-2.53, 4 Ta 2.76
Ta (0.1166, 0.1822, 0.3091)  3 B 2.47-2.50, 2 Mo 2.69-2.76
B (0.0000, 0.1060, 0.6027)  1 B 1.82
Mo (0.2327, 0.0000, 0.0000)  6 Ta 2.69-2.82

Calculated values
E in eV per atom: -10.6722
Energy of formation in eV/atom: -0.20
Total magnetization in μB/atom: 0.000